[1]
! YAs2BrF PBE relaxed; values from VASP
! density of states at the Fermi level = 1.0 states/eV/cell
! total energy = -4.54 eV per atom
! magnetization = 0.000 μB/cell
! uncorrected formation energy = -0.68 eV/atom
! excess energy over the best structure of this formula in the dataset = 0.00 eV per formula unit
&SYSTEM
  ibrav = 0, nat = 5, ntyp = 4
/
ATOMIC_SPECIES
F 19.00 F.upf
Br 79.90 Br.upf
As 74.92 As.upf
Y 88.91 Y.upf
CELL_PARAMETERS angstrom
-2.1406 -1.0294 -3.6551
3.7972 -0.6145 -2.0508
-0.0391 -5.2999 1.5155
ATOMIC_POSITIONS crystal
F 0.0000 0.0000 0.0000
Br 0.0000 0.0000 0.5000
As 0.0000 0.5000 0.0000
As 0.5000 0.0000 0.0000
Y 0.5000 0.5000 0.5000

[2]
! MgGaRu2 PBE relaxed; values from VASP
! density of states at the Fermi level = 5.4 states/eV/cell
! total energy = -5.89 eV per atom
! magnetization = 0.003 μB/cell
! ΔH_f (0 K) = -0.09 eV/atom
&SYSTEM
  ibrav = 0, nat = 4, ntyp = 3
/
ATOMIC_SPECIES
Mg 24.30 Mg.upf
Ru 101.07 Ru.upf
Ga 69.72 Ga.upf
CELL_PARAMETERS angstrom
3.0908 0.0000 0.0000
0.0000 3.0908 0.0000
0.0000 0.0000 6.1786
ATOMIC_POSITIONS crystal
Mg 0.5000 0.5000 0.5000
Ru 0.0000 0.0000 0.2266
Ru 0.0000 0.0000 0.7734
Ga 0.5000 0.5000 0.0000

[3]
! InGa2Fe2 PBE relaxed; values from VASP
! density of states at the Fermi level = 7.6 states/eV/cell
! total energy = -5.06 eV per atom
! magnetization = 6.435 μB/cell
! ΔH_f (0 K) = 0.09 eV/atom
! excess energy over the best structure of this formula in the dataset = 0.00 eV per formula unit
&SYSTEM
  ibrav = 0, nat = 10, ntyp = 3
/
ATOMIC_SPECIES
Fe 55.84 Fe.upf
Ga 69.72 Ga.upf
In 114.82 In.upf
CELL_PARAMETERS angstrom
6.8217 0.0000 0.0000
0.0000 6.8217 0.0000
0.0000 0.0000 3.2543
ATOMIC_POSITIONS crystal
Fe 0.8679 0.6321 0.0000
Fe 0.6321 0.1321 0.0000
Fe 0.3679 0.8679 0.0000
Fe 0.1321 0.3679 0.0000
Ga 0.1569 0.6569 0.5000
Ga 0.3431 0.1569 0.5000
Ga 0.8431 0.3431 0.5000
Ga 0.6569 0.8431 0.5000
In 0.0000 0.0000 0.0000
In 0.5000 0.5000 0.0000

[4]
! Ba3Li8Cd3 PBE relaxed; values from VASP
! density of states at the Fermi level = 8.8 states/eV/cell
! total energy = -1.80 eV per atom
! magnetization = 0.000 μB/cell
! ΔH_f (0 K) = -0.10 eV/atom
&SYSTEM
  ibrav = 0, nat = 14, ntyp = 3
/
ATOMIC_SPECIES
Li 6.94 Li.upf
Ba 137.33 Ba.upf
Cd 112.41 Cd.upf
CELL_PARAMETERS angstrom
-2.5017 2.8478 3.4358
2.7877 -3.1942 8.4862
6.4269 6.0521 3.4722
ATOMIC_POSITIONS crystal
Li 0.6058 0.6781 0.1103
Li 0.1854 0.1492 0.4801
Li 0.8146 0.8508 0.5199
Li 0.3942 0.3219 0.8897
Li 0.1854 0.4801 0.1492
Li 0.3942 0.8897 0.3219
Li 0.8146 0.5199 0.8508
Li 0.6058 0.1103 0.6781
Ba 0.8219 0.1781 0.1781
Ba 0.1781 0.8219 0.8219
Ba 0.5000 0.5000 0.5000
Cd 0.0000 0.2387 0.7613
Cd 0.0000 0.7613 0.2387
Cd 0.5000 0.0000 0.0000

[5]
! La4GaPBr2 PBE relaxed; values from VASP
! density of states at the Fermi level = 5.9 states/eV/cell
! total energy = -5.21 eV per atom
! magnetization = 0.000 μB/cell
! uncorrected formation energy = -1.27 eV/atom
&SYSTEM
  ibrav = 0, nat = 8, ntyp = 4
/
ATOMIC_SPECIES
Br 79.90 Br.upf
Ga 69.72 Ga.upf
La 138.91 La.upf
P 30.97 P.upf
CELL_PARAMETERS angstrom
4.3595 0.0000 0.0000
0.0000 7.4982 0.1027
0.0000 -2.6507 7.3184
ATOMIC_POSITIONS crystal
Br 0.0000 0.5000 0.5000
Br 0.5000 0.0000 0.5000
Ga 0.0000 0.0000 0.0000
La 0.5000 0.2471 0.2214
La 0.5000 0.7529 0.7786
La 0.0000 0.2684 0.7856
La 0.0000 0.7316 0.2144
P 0.5000 0.5000 0.0000

[6]
! TeRh2Se PBE relaxed; values from VASP
! density of states at the Fermi level = 2.8 states/eV/cell
! total energy = -5.23 eV per atom
! magnetization = 0.000 μB/cell
! uncorrected formation energy = 0.10 eV/atom
! excess energy over the best structure of this formula in the dataset = 1.54 eV per formula unit
&SYSTEM
  ibrav = 0, nat = 4, ntyp = 3
/
ATOMIC_SPECIES
Se 78.96 Se.upf
Rh 102.91 Rh.upf
Te 127.60 Te.upf
CELL_PARAMETERS angstrom
-2.9096 -3.6473 0.4014
1.8141 -0.4917 -4.2892
2.1727 -4.0848 -0.5600
ATOMIC_POSITIONS crystal
Se 0.5000 0.0000 0.5000
Rh 0.0000 0.0000 0.0000
Rh 0.5000 0.5000 0.0000
Te 0.0000 0.5000 0.5000

[7]
! NaTc2IrW PBE relaxed; values from VASP
! density of states at the Fermi level = 4.2 states/eV/cell
! total energy = -6.42 eV per atom
! magnetization = 1.005 μB/cell
! ΔH_f (0 K) = 2.35 eV/atom
&SYSTEM
  ibrav = 0, nat = 5, ntyp = 4
/
ATOMIC_SPECIES
Tc 98.00 Tc.upf
Na 22.99 Na.upf
W 183.84 W.upf
Ir 192.22 Ir.upf
CELL_PARAMETERS angstrom
-3.3429 0.7773 -2.6644
0.9204 -3.6565 -2.2215
-2.6208 -2.2573 2.6296
ATOMIC_POSITIONS crystal
Tc 0.0000 0.0000 0.5000
Tc 0.5000 0.0000 0.0000
Na 0.0000 0.0000 0.0000
W 0.5000 0.5000 0.5000
Ir 0.0000 0.5000 0.0000

[8]
! PrGa4Bi PBE relaxed; values from VASP
! density of states at the Fermi level = 4.0 states/eV/cell
! total energy = -3.72 eV per atom
! magnetization = 0.000 μB/cell
! ΔH_f (0 K) = -0.26 eV/atom
&SYSTEM
  ibrav = 0, nat = 6, ntyp = 3
/
ATOMIC_SPECIES
Pr 140.91 Pr.upf
Ga 69.72 Ga.upf
Bi 208.98 Bi.upf
CELL_PARAMETERS angstrom
5.7421 0.0000 0.0000
2.8711 4.9728 0.0000
2.8711 1.6576 4.6884
ATOMIC_POSITIONS crystal
Pr 0.2500 0.2500 0.2500
Ga 0.6250 0.6250 0.1250
Ga 0.6250 0.6250 0.6250
Ga 0.6250 0.1250 0.6250
Ga 0.1250 0.6250 0.6250
Bi 0.0000 0.0000 0.0000

What did the second record say?
! MgGaRu2 PBE relaxed; values from VASP
! density of states at the Fermi level = 5.4 states/eV/cell
! total energy = -5.89 eV per atom
! magnetization = 0.003 μB/cell
! ΔH_f (0 K) = -0.09 eV/atom
&SYSTEM
  ibrav = 0, nat = 4, ntyp = 3
/
ATOMIC_SPECIES
Mg 24.30 Mg.upf
Ru 101.07 Ru.upf
Ga 69.72 Ga.upf
CELL_PARAMETERS angstrom
3.0908 0.0000 0.0000
0.0000 3.0908 0.0000
0.0000 0.0000 6.1786
ATOMIC_POSITIONS crystal
Mg 0.5000 0.5000 0.5000
Ru 0.0000 0.0000 0.2266
Ru 0.0000 0.0000 0.7734
Ga 0.5000 0.5000 0.0000